Entry 1:
Computed, not measured: an optimized crystal structure of NaLaPbBr6 at the PBE level of DFT.

Cell and atoms, written as POSCAR:
```
NaLaPbBr6
1.0
7.519 0.000 0.000
-3.760 6.512 0.000
0.000 0.000 13.312
Br La Na Pb
12 2 2 2
Direct
0.004 0.660 0.374
0.656 0.660 0.126
0.660 0.004 0.874
0.344 0.340 0.874
0.656 0.996 0.374
0.004 0.344 0.126
0.344 0.004 0.626
0.660 0.656 0.626
0.996 0.340 0.626
0.340 0.344 0.374
0.340 0.996 0.126
0.996 0.656 0.874
0.667 0.333 0.750
0.333 0.667 0.250
0.667 0.333 0.250
0.333 0.667 0.750
0.000 0.000 0.000
0.000 0.000 0.500
```

DOS at the Fermi energy   0.00 states/eV/cell
Formation energy without anion corrections   -1516 meV/atom
Total magnetization   0.00 μB per formula unit
V   652 Å³ per cell

=====

Entry 2:
Computed, not measured: an optimized crystal structure of NaLaPb2Br at the PBE level of DFT.

Cell and atoms, written as POSCAR:
```
NaLaPb2Br
1.0
-5.103 -0.909 -1.947
-1.399 -2.066 4.632
-1.565 5.010 1.762
Na Pb La Br
1 2 1 1
Direct
0.000 0.000 0.000
0.000 0.000 0.500
0.500 0.000 0.000
0.500 0.500 0.500
0.000 0.500 0.000
```

DOS at the Fermi energy   5.31 states/eV/cell
Formation energy without anion corrections   -103 meV/atom
Total magnetization   0.00 μB per formula unit
V   161 Å³ per cell

=====

Entry 3:
Computed, not measured: an optimized crystal structure of NaLaPb2Br8 at the PBE level of DFT.

Cell and atoms, written as POSCAR:
```
NaLaPb2Br8
1.0
7.233 0.019 -0.005
0.061 6.881 -0.008
0.006 0.011 9.062
Br Na Pb La
8 1 2 1
Direct
0.155 0.766 0.245
0.845 0.234 0.755
0.661 0.737 0.500
0.339 0.263 0.500
0.845 0.234 0.245
0.332 0.250 0.000
0.668 0.750 0.000
0.155 0.766 0.755
0.000 0.000 0.500
0.500 0.500 0.740
0.500 0.500 0.260
0.000 0.000 0.000
```

DOS at the Fermi energy   0.00 states/eV/cell
Formation energy without anion corrections   -1365 meV/atom
Total magnetization   0.00 μB per formula unit
V   451 Å³ per cell

=====

Entry 4:
Computed, not measured: an optimized crystal structure of RbNaLaBr5 at the PBE level of DFT.

Cell and atoms, written as POSCAR:
```
RbNaLaBr5
1.0
-3.870 -1.811 -7.224
3.389 -6.989 3.180
-8.554 2.073 6.999
Br La Rb Na
10 2 2 2
Direct
0.305 0.911 0.595
0.911 0.305 0.095
0.089 0.695 0.905
0.634 0.739 0.934
0.739 0.634 0.434
0.076 0.924 0.250
0.695 0.089 0.405
0.261 0.366 0.566
0.366 0.261 0.066
0.924 0.076 0.750
0.000 0.000 0.000
0.000 0.000 0.500
0.659 0.341 0.750
0.341 0.659 0.250
0.311 0.689 0.750
0.689 0.311 0.250
```

DOS at the Fermi energy   0.00 states/eV/cell
Formation energy without anion corrections   -1814 meV/atom
Total magnetization   0.00 μB per formula unit
V   688 Å³ per cell

=====

Entry 5:
Computed, not measured: an optimized crystal structure of NaSrLaBr6 at the PBE level of DFT.

Cell and atoms, written as POSCAR:
```
NaSrLaBr6
1.0
7.092 0.000 0.000
0.000 7.092 0.000
0.000 0.000 13.678
La Br Na Sr
2 12 2 2
Direct
0.500 0.500 0.834
0.000 0.000 0.334
0.304 0.304 0.672
0.704 0.704 0.331
0.196 0.804 0.172
0.296 0.296 0.331
0.804 0.196 0.172
0.204 0.796 0.831
0.807 0.193 0.497
0.693 0.693 0.997
0.193 0.807 0.497
0.307 0.307 0.997
0.696 0.696 0.672
0.796 0.204 0.831
0.500 0.500 0.167
0.000 0.000 0.667
0.500 0.500 0.499
0.000 0.000 0.999
```

DOS at the Fermi energy   0.00 states/eV/cell
Formation energy without anion corrections   -1927 meV/atom
Total magnetization   0.00 μB per formula unit
V   688 Å³ per cell

=====

Entry 6:
Computed, not measured: an optimized crystal structure of NaLa2TaBr at the PBE level of DFT.

Cell and atoms, written as POSCAR:
```
NaLa2TaBr
1.0
-2.750 -3.718 3.548
0.626 -3.641 -3.330
5.086 -1.395 2.481
Na La Br Ta
1 2 1 1
Direct
0.000 0.000 0.000
0.500 0.000 0.000
0.000 0.000 0.500
0.500 0.500 0.500
0.000 0.500 0.000
```

DOS at the Fermi energy   5.80 states/eV/cell
Formation energy without anion corrections   1145 meV/atom
Total magnetization   2.17 μB per formula unit
V   169 Å³ per cell

=====

Entry 7:
Computed, not measured: an optimized crystal structure of NaLa2TiBr at the PBE level of DFT.

Cell and atoms, written as POSCAR:
```
NaLa2TiBr
1.0
5.795 0.000 0.000
0.000 5.070 0.000
0.000 0.000 5.795
La Br Na Ti
2 1 1 1
Direct
0.000 0.000 0.500
0.500 0.000 0.000
0.000 0.000 0.000
0.000 0.500 0.000
0.500 0.500 0.500
```

DOS at the Fermi energy   9.09 states/eV/cell
Formation energy without anion corrections   153 meV/atom
Total magnetization   2.90 μB per formula unit
V   170 Å³ per cell

=====

Entry 8:
Computed, not measured: an optimized crystal structure of Na2LaTlBr6 at the PBE level of DFT.

Cell and atoms, written as POSCAR:
```
Na2LaTlBr6
1.0
-5.337 0.598 -5.552
-7.495 0.246 1.855
-3.942 7.266 -0.802
Na Br Tl La
2 6 1 1
Direct
0.518 0.518 0.446
0.007 0.007 0.980
0.367 0.727 0.755
0.242 0.925 0.238
0.595 0.242 0.238
0.925 0.595 0.238
0.151 0.367 0.755
0.727 0.151 0.755
0.807 0.807 0.578
0.323 0.323 0.032
```

DOS at the Fermi energy   0.00 states/eV/cell
Formation energy without anion corrections   -1590 meV/atom
Total magnetization   0.00 μB per formula unit
V   362 Å³ per cell

=====

Entry 9:
Computed, not measured: an optimized crystal structure of NaLaTl2Br6 at the PBE level of DFT.

Cell and atoms, written as POSCAR:
```
NaLaTl2Br6
1.0
7.781 0.000 0.078
0.000 8.290 0.000
0.181 0.000 11.245
Br Na Tl La
12 2 4 2
Direct
0.808 0.808 0.554
0.621 0.036 0.251
0.313 0.703 0.438
0.192 0.192 0.446
0.813 0.797 0.938
0.187 0.203 0.062
0.121 0.464 0.751
0.308 0.692 0.054
0.379 0.964 0.749
0.692 0.308 0.946
0.687 0.297 0.562
0.879 0.536 0.249
0.500 0.000 0.000
0.000 0.500 0.500
0.029 0.920 0.258
0.529 0.580 0.758
0.971 0.080 0.742
0.471 0.420 0.242
0.000 0.500 0.000
0.500 0.000 0.500
```

DOS at the Fermi energy   0.00 states/eV/cell
Formation energy without anion corrections   -1462 meV/atom
Total magnetization   0.00 μB per formula unit
V   725 Å³ per cell

=====

Entry 10:
Computed, not measured: an optimized crystal structure of LaNbBr2 at the PBE level of DFT.

Cell and atoms, written as POSCAR:
```
LaNbBr2
1.0
0.000 3.609 3.609
3.609 0.000 3.609
3.609 3.609 0.000
La Nb Br
1 1 2
Direct
0.500 0.500 0.500
0.000 0.000 0.000
0.250 0.250 0.250
0.750 0.750 0.750
```

DOS at the Fermi energy   4.27 states/eV/cell
Energy above the most stable polymorph in this dataset   0.2055 eV/atom
Formation energy without anion corrections   -156 meV/atom
Total magnetization   1.99 μB per formula unit
V   94 Å³ per cell

=====

Entry 11:
Computed, not measured: an optimized crystal structure of La2NbBr at the PBE level of DFT.

Cell and atoms, written as POSCAR:
```
La2NbBr
1.0
7.422 0.000 0.000
0.000 7.422 0.000
3.711 3.711 4.718
Br Nb La
2 2 4
Direct
0.250 0.750 0.500
0.500 0.500 0.000
0.000 0.000 0.000
0.750 0.250 0.500
0.375 0.312 0.750
0.062 0.625 0.250
0.875 0.938 0.750
0.688 0.125 0.250
```

DOS at the Fermi energy   6.62 states/eV/cell
Energy above the most stable polymorph in this dataset   0.0584 eV/atom
Formation energy without anion corrections   177 meV/atom
Total magnetization   0.00 μB per formula unit
V   260 Å³ per cell

=====

Entry 12:
Computed, not measured: an optimized crystal structure of LaNb3Br at the PBE level of DFT.

Cell and atoms, written as POSCAR:
```
LaNb3Br
1.0
5.009 0.000 0.000
0.000 5.009 0.000
0.000 0.000 5.009
La Nb Br
1 3 1
Direct
0.000 0.000 0.000
0.000 0.500 0.000
0.500 0.000 0.000
0.000 0.000 0.500
0.500 0.500 0.500
```

DOS at the Fermi energy   6.11 states/eV/cell
Energy above the most stable polymorph in this dataset   1.1872 eV/atom
Formation energy without anion corrections   1988 meV/atom
Total magnetization   0.00 μB per formula unit
V   126 Å³ per cell

=====

Entry 13:
Computed, not measured: an optimized crystal structure of LaNbBr2 at the PBE level of DFT.

Cell and atoms, written as POSCAR:
```
LaNbBr2
1.0
-0.694 1.093 4.726
3.987 -2.592 1.184
6.908 6.890 1.961
Nb Br La
2 4 2
Direct
0.500 0.500 0.000
0.250 0.750 0.500
0.158 0.625 0.250
0.375 0.408 0.750
0.592 0.125 0.250
0.875 0.842 0.750
0.000 0.000 0.000
0.750 0.250 0.500
```

DOS at the Fermi energy   6.24 states/eV/cell
Energy above the most stable polymorph in this dataset   0.1154 eV/atom
Formation energy without anion corrections   -246 meV/atom
Total magnetization   1.75 μB per formula unit
V   224 Å³ per cell

=====

Entry 14:
Computed, not measured: an optimized crystal structure of LaNb2Br at the PBE level of DFT.

Cell and atoms, written as POSCAR:
```
LaNb2Br
1.0
-2.372 0.620 5.515
-1.272 -5.899 0.116
3.411 -3.721 5.188
Nb Br La
4 2 2
Direct
0.875 0.867 0.750
0.617 0.125 0.250
0.133 0.625 0.250
0.375 0.383 0.750
0.500 0.500 0.000
0.250 0.750 0.500
0.750 0.250 0.500
0.000 0.000 0.000
```

DOS at the Fermi energy   0.17 states/eV/cell
Energy above the most stable polymorph in this dataset   0.6399 eV/atom
Formation energy without anion corrections   1429 meV/atom
Total magnetization   0.00 μB per formula unit
V   213 Å³ per cell

=====

Entry 15:
Computed, not measured: an optimized crystal structure of La2NbBr at the PBE level of DFT.

Cell and atoms, written as POSCAR:
```
La2NbBr
1.0
0.000 3.834 3.834
3.834 0.000 3.834
3.834 3.834 0.000
Br La Nb
1 2 1
Direct
0.000 0.000 0.000
0.750 0.750 0.750
0.250 0.250 0.250
0.500 0.500 0.500
```

DOS at the Fermi energy   4.45 states/eV/cell
Energy above the most stable polymorph in this dataset   0.0000 eV/atom
Formation energy without anion corrections   118 meV/atom
Total magnetization   2.24 μB per formula unit
V   113 Å³ per cell

=====

Entry 16:
Computed, not measured: an optimized crystal structure of LaNb2Br at the PBE level of DFT.

Cell and atoms, written as POSCAR:
```
LaNb2Br
1.0
4.462 0.456 1.998
0.998 -2.157 4.297
3.024 -3.865 0.162
Nb La Br
2 1 1
Direct
0.750 0.750 0.750
0.250 0.250 0.250
0.500 0.500 0.500
0.000 0.000 0.000
```

DOS at the Fermi energy   1.88 states/eV/cell
Energy above the most stable polymorph in this dataset   0.0000 eV/atom
Formation energy without anion corrections   789 meV/atom
Total magnetization   0.00 μB per formula unit
V   84 Å³ per cell

=====

Entry 17:
Computed, not measured: an optimized crystal structure of LaNbBr2 at the PBE level of DFT.

Cell and atoms, written as POSCAR:
```
LaNbBr2
1.0
2.496 7.972 5.644
5.618 6.559 5.202
4.321 8.670 2.793
La Br Nb
1 2 1
Direct
0.500 0.500 0.500
0.088 0.088 0.088
0.912 0.912 0.912
0.000 0.000 0.000
```

DOS at the Fermi energy   4.07 states/eV/cell
Energy above the most stable polymorph in this dataset   0.0000 eV/atom
Formation energy without anion corrections   -362 meV/atom
Total magnetization   0.00 μB per formula unit
V   102 Å³ per cell

=====

Entry 18:
Computed, not measured: an optimized crystal structure of LaNb3Br at the PBE level of DFT.

Cell and atoms, written as POSCAR:
```
LaNb3Br
1.0
4.903 0.000 0.000
0.000 4.903 0.000
0.000 0.000 4.903
Br Nb La
1 3 1
Direct
0.000 0.000 0.000
0.000 0.500 0.000
0.000 0.000 0.500
0.500 0.000 0.000
0.500 0.500 0.500
```

DOS at the Fermi energy   6.42 states/eV/cell
Energy above the most stable polymorph in this dataset   0.0000 eV/atom
Formation energy without anion corrections   800 meV/atom
Total magnetization   0.00 μB per formula unit
V   118 Å³ per cell

=====

Entry 19:
Computed, not measured: an optimized crystal structure of La2NbBrO at the PBE level of DFT.

Cell and atoms, written as POSCAR:
```
La2NbBrO
1.0
-4.671 3.062 1.614
-1.161 0.251 -3.835
-3.026 -4.929 0.593
La Br O Nb
2 1 1 1
Direct
0.500 0.000 0.000
0.000 0.000 0.500
0.500 0.500 0.500
0.000 0.500 0.000
0.000 0.000 0.000
```

DOS at the Fermi energy   7.26 states/eV/cell
Formation energy without anion corrections   -687 meV/atom
Total magnetization   0.00 μB per formula unit
V   136 Å³ per cell

=====

Entry 20:
Computed, not measured: an optimized crystal structure of LaNbBrO4 at the PBE level of DFT.

Cell and atoms, written as POSCAR:
```
LaNbBrO4
1.0
-5.925 4.085 -0.062
-5.280 -0.511 4.865
1.740 5.276 4.693
O Nb La Br
8 2 2 2
Direct
0.110 0.532 0.125
0.693 0.693 0.491
0.468 0.890 0.875
0.307 0.307 0.509
0.522 0.522 0.216
0.532 0.110 0.125
0.478 0.478 0.784
0.890 0.468 0.875
0.628 0.628 0.747
0.372 0.372 0.253
0.291 0.291 0.834
0.709 0.709 0.166
0.011 0.011 0.338
0.989 0.989 0.662
```

Formation energy without anion corrections   -2527 meV/atom
Total magnetization   0.00 μB per formula unit
V   304 Å³ per cell